{"formula": "BaLi4Pb2", "functional": "PBE", "state": "optimized geometry", "space_group": "P4_2/mnm", "dos_ef_per_ev_cell": 8.99, "delta_e_f_kj_per_mol_atoms": -30, "lattice_angstrom": [[-4.2866, 0.7899, 2.2719], [-1.5433, -8.5086, 0.0464], [3.9402, -0.6728, 7.6683]], "species": ["Li", "Li", "Li", "Pb", "Li", "Ba", "Li", "Pb", "Li", "Li", "Pb", "Ba", "Pb", "Li"], "frac_coords": [[0.5000, 0.1479, 0.5996], [0.0000, 0.0996, 0.3521], [0.5000, 0.5996, 0.1479], [0.5000, 0.2824, 0.2824], [0.5000, 0.4004, 0.8521], [0.5000, 0.0000, 0.0000], [0.0000, 0.6479, 0.9004], [0.0000, 0.7824, 0.2176], [0.0000, 0.3521, 0.0996], [0.0000, 0.9004, 0.6479], [0.5000, 0.7176, 0.7176], [0.0000, 0.5000, 0.5000], [0.0000, 0.2176, 0.7824], [0.5000, 0.8521, 0.4004]]}

{"formula": "CsNaAlTl2", "functional": "PBE", "state": "optimized geometry", "space_group": "P4/mmm", "dos_ef_per_ev_cell": 4.44, "delta_e_f_kj_per_mol_atoms": 12, "lattice_angstrom": [[-1.1109, -3.1151, 4.6657], [-1.0983, -4.5435, -3.2950], [5.7382, -1.6021, 0.2965]], "species": ["Al", "Tl", "Na", "Cs", "Tl"], "frac_coords": [[0.0000, 0.0000, 0.0000], [0.5000, 0.0000, 0.0000], [0.0000, 0.0000, 0.5000], [0.5000, 0.5000, 0.5000], [0.0000, 0.5000, 0.0000]]}

{"formula": "AcPaN2O", "functional": "PBE", "state": "optimized geometry", "space_group": "P4/nmm", "dos_ef_per_ev_cell": 6.05, "raw_formation_energy_ev_per_atom": -1.91, "lattice_angstrom": [[3.8603, 0.0000, 0.0000], [0.0000, 3.8603, 0.0000], [0.0000, 0.0000, 11.9793]], "species": ["N", "Pa", "O", "Pa", "N", "O", "Ac", "N", "Ac", "N"], "frac_coords": [[0.0000, 0.5000, 0.7368], [0.5000, 0.0000, 0.1047], [0.5000, 0.5000, 0.5000], [0.0000, 0.5000, 0.8953], [0.0000, 0.5000, 0.0730], [0.0000, 0.0000, 0.5000], [0.0000, 0.5000, 0.3809], [0.5000, 0.0000, 0.9270], [0.5000, 0.0000, 0.6191], [0.5000, 0.0000, 0.2632]]}

{"formula": "Li2PmP2Au2", "functional": "PBE", "state": "optimized geometry", "space_group": "R-3m", "dos_ef_per_ev_cell": 1.21, "delta_e_f_kj_per_mol_atoms": -76, "lattice_angstrom": [[4.2278, 0.0000, 0.0000], [2.1139, 3.6614, 0.0000], [2.1139, 1.2205, 7.7531]], "species": ["P", "Pm", "P", "Li", "Li", "Au", "Au"], "frac_coords": [[0.2593, 0.2593, 0.2221], [0.0000, 0.0000, 0.0000], [0.7407, 0.7407, 0.7779], [0.1477, 0.1477, 0.5570], [0.8523, 0.8523, 0.4430], [0.5653, 0.5653, 0.3040], [0.4347, 0.4347, 0.6960]]}

{"formula": "Sc2SbHRu", "functional": "PBE", "state": "optimized geometry", "space_group": "P4/mmm", "dos_ef_per_ev_cell": 2.34, "dft_energy_ev_per_atom": -6.475, "lattice_angstrom": [[4.4903, 0.0000, 0.0000], [0.0000, 4.4903, 0.0000], [0.0000, 0.0000, 3.8819]], "species": ["Ru", "H", "Sc", "Sb", "Sc"], "frac_coords": [[0.0000, 0.0000, 0.5000], [0.0000, 0.0000, 0.0000], [0.5000, 0.0000, 0.0000], [0.5000, 0.5000, 0.5000], [0.0000, 0.5000, 0.0000]]}

{"formula": "Sm2As3Pt4Au", "functional": "PBE", "state": "optimized geometry", "space_group": "P-4m2", "dos_ef_per_ev_cell": 6.20, "delta_e_f_kj_per_mol_atoms": -72, "lattice_angstrom": [[-0.9977, 0.8969, -4.0869], [3.5948, -1.9663, -1.3091], [-5.3372, -9.2704, -0.7315]], "species": ["Sm", "As", "Pt", "Au", "Pt", "As", "Pt", "Pt", "Sm", "As"], "frac_coords": [[0.5000, 0.0000, 0.2448], [0.0000, 0.5000, 0.1278], [0.0000, 0.5000, 0.3493], [0.5000, 0.5000, 0.5000], [0.5000, 0.0000, 0.6507], [0.5000, 0.0000, 0.8722], [0.5000, 0.5000, 0.0000], [0.0000, 0.0000, 0.0000], [0.0000, 0.5000, 0.7552], [0.0000, 0.0000, 0.5000]]}